Record 1
The following is a GGA-PBE calculation of a relaxed structure of PrGa5PdPt2, from the Alexandria database.

a b c (Å): 4.356 4.356 10.037
angles (deg): 90.00 90.00 90.00
Fractional coordinates of all 9 atoms:
Ga: 0.000 0.500 0.855
Ga: 0.000 0.500 0.145
Ga: 0.500 0.000 0.145
Ga: 0.500 0.000 0.855
Ga: 0.500 0.500 0.500
Pt: 0.500 0.500 0.267
Pt: 0.500 0.500 0.733
Pd: 0.000 0.000 0.000
Pr: 0.000 0.000 0.500

Results
DOS(E_F), states/eV/cell: 3.6
Uncorrected energy, eV per atom: -4.64
Symmetry: P4/mmm
E_form, meV/atom: -509.0

=====

Record 2
The following is a GGA-PBE calculation of a relaxed structure of BeAsAu, from the Alexandria database.

a b c (Å): 3.948 3.949 8.600
angles (deg): 89.98 89.98 59.95
Fractional coordinates of all 6 atoms:
Be: 0.852 0.292 0.028
Be: 0.224 0.925 0.528
As: 0.533 0.266 0.528
As: 0.193 0.601 0.028
Au: 0.911 0.981 0.778
Au: 0.912 0.980 0.278

Results
DOS(E_F), states/eV/cell: 0.0
Uncorrected energy, eV per atom: -3.96
Symmetry: Pm
E_form, meV/atom: -80.1